Record 1
SiRu2SeI: optimized geometry, PBE.

The structure in CIF format:
```
data_SiRu2SeI
_symmetry_space_group_name_H-M 'P 1'
_symmetry_Int_Tables_number 1
_cell_length_a 4.884
_cell_length_b 5.328
_cell_length_c 4.884
_cell_angle_alpha 90.00
_cell_angle_beta 90.00
_cell_angle_gamma 90.00
loop_
_symmetry_equiv_pos_as_xyz
'x,y,z'
loop_
_atom_site_label
_atom_site_type_symbol
_atom_site_fract_x
_atom_site_fract_y
_atom_site_fract_z
Si1 Si 0.000 0.500 0.000
I1 I 0.000 0.000 0.000
Ru1 Ru 0.000 0.000 0.500
Ru2 Ru 0.500 0.000 0.000
Se1 Se 0.500 0.500 0.500
```

Calculated values
Formation energy (no corrections) (kJ/mol of formula units): 871
Total magnetic moment (μB/f.u.): 3.06
SG: P4/mmm, No. 123


Record 2
Ti2RuSeI: optimized geometry, PBE.

The structure in CIF format:
```
data_Ti2RuSeI
_symmetry_space_group_name_H-M 'P 1'
_symmetry_Int_Tables_number 1
_cell_length_a 4.905
_cell_length_b 5.293
_cell_length_c 4.905
_cell_angle_alpha 90.00
_cell_angle_beta 90.00
_cell_angle_gamma 90.00
loop_
_symmetry_equiv_pos_as_xyz
'x,y,z'
loop_
_atom_site_label
_atom_site_type_symbol
_atom_site_fract_x
_atom_site_fract_y
_atom_site_fract_z
I1 I 0.000 0.000 0.000
Se1 Se 0.000 0.500 0.000
Ti1 Ti 0.500 0.000 0.000
Ti2 Ti 0.000 0.000 0.500
Ru1 Ru 0.500 0.500 0.500
```

Calculated values
Formation energy (no corrections) (kJ/mol of formula units): 839
Total magnetic moment (μB/f.u.): 0.00
SG: P4/mmm, No. 123


Record 3
TiRuSe2I: optimized geometry, PBE.

The structure in CIF format:
```
data_TiRuSe2I
_symmetry_space_group_name_H-M 'P 1'
_symmetry_Int_Tables_number 1
_cell_length_a 4.822
_cell_length_b 5.725
_cell_length_c 4.822
_cell_angle_alpha 90.00
_cell_angle_beta 90.00
_cell_angle_gamma 90.00
loop_
_symmetry_equiv_pos_as_xyz
'x,y,z'
loop_
_atom_site_label
_atom_site_type_symbol
_atom_site_fract_x
_atom_site_fract_y
_atom_site_fract_z
I1 I 0.000 0.500 0.000
Se1 Se 0.000 0.000 0.500
Se2 Se 0.500 0.000 0.000
Ti1 Ti 0.000 0.000 0.000
Ru1 Ru 0.500 0.500 0.500
```

Calculated values
Formation energy (no corrections) (kJ/mol of formula units): 231
Total magnetic moment (μB/f.u.): 2.88
SG: P4/mmm, No. 123